First-principles (PBE-GGA) data for ZrCuTc2 after structural relaxation, as listed in Alexandria via LeMat-Bulk.

Cell: 3.860 3.860 4.191 Å, 90.00 90.00 90.00°
Space group P4/mmm (No. 123)
Inequivalent atoms, fractional coordinates:
Zr  0.000  0.000  0.000 [1 per cell]
Cu  0.500  0.500  0.000 [1 per cell]
Tc  0.000  0.500  0.500 [2 per cell]

DFT formation energy (eV per formula unit): -0.04
Energy above the lowest structure with this stoichiometry (meV per atom): 0.0